Entry 1:
VASP calculation (PBE) on a geometry-optimized RePt4 structure.

- Polymorph energy (0 for the lowest one): 41 meV/atom
- Energy of formation: -0.071 eV per atom
- DOS(E_F): 17.38 states/eV per cell
- Crystal system: trigonal
- V: 15.463 A^3/atom
- Density: 20.76 g/cm³

Cell and atoms, written as CIF:
```
data_RePt4
_chemical_formula_sum 'Re3 Pt12'
_space_group_name_H-M_alt 'R -3 m'
_space_group_IT_number 166
_space_group_name_Hall '-R 3 2"'
_cell_length_a 2.7939
_cell_length_b 2.7939
_cell_length_c 34.3112
_cell_angle_alpha 90.00
_cell_angle_beta 90.00
_cell_angle_gamma 120.00
loop_
_atom_site_label
_atom_site_type_symbol
_atom_site_fract_x
_atom_site_fract_y
_atom_site_fract_z
_atom_site_occupancy
Re1 Re 0.0000 0.0000 0.0000 1
Pt1 Pt 0.0000 0.0000 0.2008 1
Pt2 Pt 0.0000 0.0000 0.3972 1
```

Entry 2:
VASP calculation (PBE) on a geometry-optimized RePt structure.

- Polymorph energy (0 for the lowest one): 259 meV/atom
- Energy of formation: 0.133 eV per atom
- DOS(E_F): 6.48 states/eV per cell
- Crystal system: trigonal
- V: 15.523 A^3/atom
- Density: 20.39 g/cm³

Cell and atoms, written as CIF:
```
data_RePt
_chemical_formula_sum 'Re6 Pt6'
_space_group_name_H-M_alt 'P -3 m 1'
_space_group_IT_number 164
_space_group_name_Hall '-P 3 2"'
_cell_length_a 4.4386
_cell_length_b 4.4386
_cell_length_c 10.9180
_cell_angle_alpha 90.00
_cell_angle_beta 90.00
_cell_angle_gamma 120.00
loop_
_atom_site_label
_atom_site_type_symbol
_atom_site_fract_x
_atom_site_fract_y
_atom_site_fract_z
_atom_site_occupancy
Re1 Re 0.0000 0.0000 0.1186 1
Re2 Re 0.3333 0.6667 0.2602 1
Re3 Re 0.3333 0.6667 0.4987 1
Pt1 Pt 0.0000 0.0000 0.3705 1
Pt2 Pt 0.3333 0.6667 0.0080 1
Pt3 Pt 0.3333 0.6667 0.7524 1
```

Entry 3:
VASP calculation (PBE) on a geometry-optimized RePt structure.

- Polymorph energy (0 for the lowest one): 668 meV/atom
- Energy of formation: 0.542 eV per atom
- DOS(E_F): 25.51 states/eV per cell
- Crystal system: orthorhombic
- V: 16.779 A^3/atom
- Density: 18.87 g/cm³

Cell and atoms, written as CIF:
```
data_RePt
_chemical_formula_sum 'Re16 Pt16'
_space_group_name_H-M_alt 'F d d d'
_space_group_IT_number 70
_cell_length_a 7.247
_cell_length_b 7.595
_cell_length_c 9.755
_cell_angle_alpha 90.00
_cell_angle_beta 90.00
_cell_angle_gamma 90.00
loop_
_space_group_symop_operation_xyz
'x,y,z'
'-x,-y,-z'
'-x+1/4,-y+1/4,z'
'x+1/4,y+1/4,-z'
'x,-y+1/4,-z+1/4'
'-x,y+1/4,z+1/4'
'-x+1/4,y,-z+1/4'
'x+1/4,-y,z+1/4'
'x,y+1/2,z+1/2'
'-x,-y+1/2,-z+1/2'
'-x+1/4,-y+3/4,z+1/2'
'x+1/4,y+3/4,-z+1/2'
'x,-y+3/4,-z+3/4'
'-x,y+3/4,z+3/4'
'-x+1/4,y+1/2,-z+3/4'
'x+1/4,-y+1/2,z+3/4'
'x+1/2,y,z+1/2'
'-x+1/2,-y,-z+1/2'
'-x+3/4,-y+1/4,z+1/2'
'x+3/4,y+1/4,-z+1/2'
'x+1/2,-y+1/4,-z+3/4'
'-x+1/2,y+1/4,z+3/4'
'-x+3/4,y,-z+3/4'
'x+3/4,-y,z+3/4'
'x+1/2,y+1/2,z'
'-x+1/2,-y+1/2,-z'
'-x+3/4,-y+3/4,z'
'x+3/4,y+3/4,-z'
'x+1/2,-y+3/4,-z+1/4'
'-x+1/2,y+3/4,z+1/4'
'-x+3/4,y+1/2,-z+1/4'
'x+3/4,-y+1/2,z+1/4'
loop_
_atom_site_label
_atom_site_type_symbol
_atom_site_fract_x
_atom_site_fract_y
_atom_site_fract_z
_atom_site_occupancy
Re1 Re 0.037 0.375 0.375 1
Pt1 Pt 0.125 0.295 0.625 1
```

Entry 4:
VASP calculation (PBE) on a geometry-optimized RePt structure.

- Polymorph energy (0 for the lowest one): 20 meV/atom
- Energy of formation: -0.105 eV per atom
- DOS(E_F): 10.88 states/eV per cell
- Crystal system: monoclinic
- V: 15.197 A^3/atom
- Density: 20.83 g/cm³

Cell and atoms, written as CIF:
```
data_RePt
_chemical_formula_sum 'Re6 Pt6'
_space_group_name_H-M_alt 'C 1 m 1'
_space_group_IT_number 8
_cell_length_a 10.357
_cell_length_b 2.770
_cell_length_c 6.566
_cell_angle_alpha 90.00
_cell_angle_beta 104.53
_cell_angle_gamma 90.00
loop_
_space_group_symop_operation_xyz
'x,y,z'
'x,-y,z'
'x+1/2,y+1/2,z'
'x+1/2,-y+1/2,z'
loop_
_atom_site_label
_atom_site_type_symbol
_atom_site_fract_x
_atom_site_fract_y
_atom_site_fract_z
_atom_site_occupancy
Re1 Re 0.000 0.000 0.000 1
Re2 Re 0.049 0.000 0.627 1
Re3 Re 0.209 0.500 0.952 1
Pt1 Pt 0.155 0.500 0.339 1
Pt2 Pt 0.329 0.000 0.683 1
Pt3 Pt 0.384 0.000 0.274 1
```